1.
# CsTmCuCl5

CsTmCuCl5 after structural relaxation (PBE, Alexandria).

Unit cell a=7.5313 b=7.5313 c=10.0014 alpha=103.74 beta=103.74 gamma=105.88
Element x y z (fractional)
Cs: 0.6559 0.3441 0.7500
Cs: 0.3441 0.6559 0.2500
Cl: 0.6307 0.7803 0.9144
Tm: 0.0000 0.0000 0.0000
Cl: 0.7074 0.1084 0.3980
Cl: 0.3693 0.2197 0.0856
Cl: 0.2926 0.8916 0.6020
Cl: 0.7803 0.6307 0.4144
Cl: 0.8916 0.2926 0.1020
Cu: 0.6932 0.3068 0.2500
Tm: 0.0000 0.0000 0.5000
Cl: 0.0626 0.9374 0.2500
Cl: 0.1084 0.7074 0.8980
Cu: 0.3068 0.6932 0.7500
Cl: 0.2197 0.3693 0.5856
Cl: 0.9374 0.0626 0.7500

Values from the calculation:
Size of the total moment   0.15 μB/f.u.
E_form (uncorrected)   -1.75 eV/atom

***

2.
# Li2MgCuF

Li2MgCuF after structural relaxation (PBE, Alexandria).

Unit cell a=5.1193 b=3.8185 c=5.1193 alpha=90.00 beta=90.00 gamma=90.00
Element x y z (fractional)
F: 0.0000 0.5000 0.0000
Li: 0.0000 0.0000 0.5000
Cu: 0.0000 0.0000 0.0000
Li: 0.5000 0.0000 0.0000
Mg: 0.5000 0.5000 0.5000

Values from the calculation:
Size of the total moment   0.00 μB/f.u.
E_form (uncorrected)   -0.27 eV/atom

***

3.
# BaH2O3

BaH2O3 after structural relaxation (PBE, Alexandria).

Unit cell a=4.0786 b=5.3996 c=7.0849 alpha=76.20 beta=90.00 gamma=90.00
Element x y z (fractional)
H: 0.7500 0.6191 0.9737
H: 0.2500 0.3809 0.0263
O: 0.2500 0.2837 0.9267
O: 0.7500 0.2224 0.3053
Ba: 0.2500 0.8673 0.2759
O: 0.2500 0.3356 0.4446
O: 0.2500 0.7776 0.6947
H: 0.2500 0.5935 0.7673
O: 0.7500 0.7163 0.0733
O: 0.7500 0.6644 0.5554
Ba: 0.7500 0.1327 0.7241
H: 0.7500 0.4065 0.2327

Values from the calculation:
Size of the total moment   2.03 μB/f.u.

***

4.
# Sr2AgS

Sr2AgS after structural relaxation (PBE, Alexandria).

Unit cell a=4.3228 b=4.3228 c=8.1173 alpha=74.56 beta=74.56 gamma=60.00
Element x y z (fractional)
Ag: 0.5000 0.5000 0.5000
Sr: 0.2576 0.2576 0.2272
Sr: 0.7424 0.7424 0.7728
S: 0.0000 0.0000 0.0000

Values from the calculation:
Size of the total moment   0.00 μB/f.u.
E_form (uncorrected)   -1.06 eV/atom

***

5.
# BaLiMo2

BaLiMo2 after structural relaxation (PBE, Alexandria).

Unit cell a=6.1445 b=6.1445 c=6.1445 alpha=147.91 beta=123.83 gamma=66.17
Element x y z (fractional)
Mo: 0.8042 0.3042 0.5000
Li: 0.2193 0.7193 0.5000
Ba: 0.5147 0.5147 0.0000
Mo: 0.9617 0.9617 0.0000

Values from the calculation:
Size of the total moment   0.00 μB/f.u.
Calculated formation energy   0.838 eV/atom

***

6.
# Nd4Cu2Ni5

Nd4Cu2Ni5 after structural relaxation (PBE, Alexandria).

Unit cell a=4.0833 b=6.6733 c=7.7147 alpha=91.32 beta=90.00 gamma=90.00
Element x y z (fractional)
Ni: 0.0000 0.5385 0.3287
Ni: 0.0000 0.5000 0.0000
Cu: 0.0000 0.9083 0.3638
Ni: 0.0000 0.8546 0.8793
Ni: 0.0000 0.4615 0.6713
Cu: 0.0000 0.0917 0.6362
Nd: 0.5000 0.7395 0.6253
Nd: 0.5000 0.2605 0.3747
Nd: 0.5000 0.2464 0.8809
Ni: 0.0000 0.1454 0.1207
Nd: 0.5000 0.7536 0.1191

Values from the calculation:
Size of the total moment   0.00 μB/f.u.
Calculated formation energy   -0.240 eV/atom

***

7.
# SnRhSeN2

SnRhSeN2 after structural relaxation (PBE, Alexandria).

Unit cell a=3.9657 b=3.9657 c=5.2873 alpha=90.00 beta=90.00 gamma=90.00
Element x y z (fractional)
Se: 0.0000 0.0000 0.5000
Sn: 0.5000 0.5000 0.5000
N: 0.0000 0.5000 0.0000
Rh: 0.0000 0.0000 0.0000
N: 0.5000 0.0000 0.0000

Values from the calculation:
Size of the total moment   0.49 μB/f.u.
E_form (uncorrected)   0.92 eV/atom

***

8.
# PmPrIn2

PmPrIn2 after structural relaxation (PBE, Alexandria).

Unit cell a=3.8791 b=3.8791 c=7.7473 alpha=90.00 beta=90.00 gamma=90.00
Element x y z (fractional)
Pm: 0.5000 0.5000 0.0000
In: 0.0000 0.0000 0.7557
In: 0.0000 0.0000 0.2443
Pr: 0.5000 0.5000 0.5000

Values from the calculation:
Size of the total moment   0.00 μB/f.u.
Calculated formation energy   -0.497 eV/atom

***

9.
# LiAg3Br2F6

LiAg3Br2F6 after structural relaxation (PBE, Alexandria).

Unit cell a=5.6361 b=7.2781 c=6.7677 alpha=122.53 beta=80.46 gamma=90.00
Element x y z (fractional)
Br: 0.1892 0.6927 0.3854
Ag: 0.5000 0.0000 0.5000
F: 0.7351 0.3767 0.1733
Li: 0.5000 0.0000 0.0000
F: 0.6308 0.8409 0.6818
Ag: 0.0000 0.5000 0.0000
Ag: 0.5000 0.5000 0.5000
F: 0.2649 0.2034 0.8267
F: 0.7351 0.7966 0.1733
Br: 0.8108 0.3073 0.6146
F: 0.3692 0.1591 0.3182
F: 0.2649 0.6233 0.8267

Values from the calculation:
Size of the total moment   0.32 μB/f.u.
E_form (uncorrected)   -1.12 eV/atom

***

10.
# Ca4Ag3Bi

Ca4Ag3Bi after structural relaxation (PBE, Alexandria).

Unit cell a=5.2706 b=5.2706 c=9.5159 alpha=73.92 beta=73.92 gamma=60.00
Element x y z (fractional)
Ca: 0.3789 0.3789 0.8632
Ca: 0.6211 0.6211 0.1368
Ag: 0.2415 0.2415 0.2755
Ca: 0.8736 0.8736 0.3792
Ag: 0.5000 0.5000 0.5000
Ag: 0.7585 0.7585 0.7245
Ca: 0.1264 0.1264 0.6208
Bi: 0.0000 0.0000 0.0000

Values from the calculation:
Size of the total moment   0.00 μB/f.u.
Calculated formation energy   -0.460 eV/atom

***

11.
# Mg3PdO

Mg3PdO after structural relaxation (PBE, Alexandria).

Unit cell a=4.2057 b=4.2057 c=4.2057 alpha=90.00 beta=90.00 gamma=90.00
Element x y z (fractional)
Mg: 0.0000 0.0000 0.5000
O: 0.0000 0.0000 0.0000
Mg: 0.5000 0.0000 0.0000
Mg: 0.0000 0.5000 0.0000
Pd: 0.5000 0.5000 0.5000

Values from the calculation:
Size of the total moment   0.00 μB/f.u.
E_form (uncorrected)   -1.21 eV/atom

***

12.
# TaZnHI2

TaZnHI2 after structural relaxation (PBE, Alexandria).

Unit cell a=5.5583 b=3.7900 c=5.5583 alpha=90.00 beta=90.00 gamma=90.00
Element x y z (fractional)
Ta: 0.0000 0.0000 0.0000
I: 0.0000 0.0000 0.5000
Zn: 0.5000 0.5000 0.5000
H: 0.0000 0.5000 0.0000
I: 0.5000 0.0000 0.0000

Values from the calculation:
Size of the total moment   0.00 μB/f.u.

***

13.
# LaBe4Rh

LaBe4Rh after structural relaxation (PBE, Alexandria).

Unit cell a=4.8406 b=4.8406 c=4.8406 alpha=60.00 beta=60.00 gamma=60.00
Element x y z (fractional)
Rh: 0.0000 0.0000 0.0000
Be: 0.3687 0.3687 0.8939
La: 0.7500 0.7500 0.7500
Be: 0.3687 0.3687 0.3687
Be: 0.8939 0.3687 0.3687
Be: 0.3687 0.8939 0.3687

Values from the calculation:
Size of the total moment   0.00 μB/f.u.
Calculated formation energy   -0.084 eV/atom

***

14.
# Sr2TcTe

Sr2TcTe after structural relaxation (PBE, Alexandria).

Unit cell a=3.6005 b=3.6005 c=9.3721 alpha=90.00 beta=90.00 gamma=89.99
Element x y z (fractional)
Te: 0.5000 0.5000 0.6822
Sr: 0.0000 0.0000 0.9340
Sr: 0.5000 0.5000 0.3197
Tc: 0.0000 0.0000 0.5641

Values from the calculation:
Size of the total moment   0.00 μB/f.u.
E_form (uncorrected)   0.02 eV/atom

***

15.
# ZrNpZn17

ZrNpZn17 after structural relaxation (PBE, Alexandria).

Unit cell a=6.7455 b=6.7455 c=6.7455 alpha=82.53 beta=82.53 gamma=82.53
Element x y z (fractional)
Zn: 0.0025 0.6988 0.2979
Zn: 0.9030 0.9030 0.9030
Zn: 0.6414 0.6414 0.1721
Zn: 0.5057 0.9937 0.9937
Zn: 0.1036 0.1036 0.1036
Zn: 0.9937 0.9937 0.5057
Zn: 0.2979 0.6988 0.0025
Zn: 0.3518 0.8486 0.3518
Zn: 0.8486 0.3518 0.3518
Zn: 0.1721 0.6414 0.6414
Zn: 0.6414 0.1721 0.6414
Zn: 0.6988 0.0025 0.2979
Zn: 0.0025 0.2979 0.6988
Zn: 0.3518 0.3518 0.8486
Zn: 0.9937 0.5057 0.9937
Zr: 0.3292 0.3292 0.3292
Zn: 0.2979 0.0025 0.6988
Zn: 0.6988 0.2979 0.0025
Np: 0.6655 0.6655 0.6655

Values from the calculation:
Size of the total moment   4.39 μB/f.u.
Calculated formation energy   -0.088 eV/atom

***

16.
# LaW

LaW after structural relaxation (PBE, Alexandria).

Unit cell a=11.6438 b=11.6438 c=3.3564 alpha=90.00 beta=90.00 gamma=90.00
Element x y z (fractional)
La: 0.4208 0.3212 0.5000
La: 0.5792 0.6788 0.5000
La: 0.2711 0.0573 0.0000
W: 0.1909 0.3214 0.0000
W: 0.4526 0.9026 0.5000
La: 0.0573 0.7289 0.0000
W: 0.3214 0.8091 0.0000
La: 0.6788 0.4208 0.5000
La: 0.7289 0.9427 0.0000
La: 0.3212 0.5792 0.5000
W: 0.5474 0.0974 0.5000
W: 0.9026 0.5474 0.5000
La: 0.9427 0.2711 0.0000
W: 0.6786 0.1909 0.0000
W: 0.8091 0.6786 0.0000
W: 0.0974 0.4526 0.5000

Values from the calculation:
Size of the total moment   0.00 μB/f.u.
Calculated formation energy   0.748 eV/atom

***

Record-wise E_tot values, in eV/atom: -4.0829 -2.5451 -5.0903 -3.6452 -5.5364 -5.3463 -5.3770 -4.2486 -3.2094 -3.0151 -4.1976 -3.5227 -4.6142 -4.1961 -2.3593 -8.1918